! NiHgMo2 | Alexandria | PBE | optimized geometry; values from VASP
&SYSTEM
  ibrav = 0, nat = 4, ntyp = 3
/
ATOMIC_SPECIES
Ni 58.69 Ni.upf
Hg 200.59 Hg.upf
Mo 95.94 Mo.upf
ATOMIC_POSITIONS crystal
Ni 0.000 0.000 0.000
Hg 0.500 0.500 0.257
Mo 0.000 0.000 0.546
Mo 0.500 0.500 0.781
CELL_PARAMETERS angstrom
2.722 0.000 0.000
0.000 3.970 0.000
0.000 0.000 5.924
! Magnetic moment ... 0.0 μB per cell
! Density ... 11.701 g/cm³
! Calculated total energy ... -26.18 eV per formula unit

=====

! NiHgMo2 | Alexandria | PBE | optimized geometry; values from VASP
&SYSTEM
  ibrav = 0, nat = 4, ntyp = 3
/
ATOMIC_SPECIES
Ni 58.69 Ni.upf
Hg 200.59 Hg.upf
Mo 95.94 Mo.upf
ATOMIC_POSITIONS crystal
Ni 0.000 0.000 0.000
Hg 0.076 0.500 0.277
Mo 0.427 0.500 0.797
Mo 0.643 0.000 0.552
CELL_PARAMETERS angstrom
2.721 0.000 0.000
0.000 4.279 0.000
-0.756 0.000 5.506
! Magnetic moment ... 0.0 μB per cell
! Density ... 11.688 g/cm³
! Calculated total energy ... -26.32 eV per formula unit

=====

! NiHgMo2 | Alexandria | PBE | optimized geometry; values from VASP
&SYSTEM
  ibrav = 0, nat = 8, ntyp = 3
/
ATOMIC_SPECIES
Ni 58.69 Ni.upf
Hg 200.59 Hg.upf
Mo 95.94 Mo.upf
ATOMIC_POSITIONS crystal
Ni 0.000 0.000 0.000
Ni 0.500 0.500 0.000
Hg 0.000 0.500 0.252
Hg 0.500 0.000 0.252
Mo 0.000 0.000 0.537
Mo 0.000 0.500 0.787
Mo 0.500 0.000 0.787
Mo 0.500 0.500 0.537
CELL_PARAMETERS angstrom
3.365 0.000 0.000
0.000 4.389 0.000
0.000 0.000 8.657
! Magnetic moment ... 0.0 μB per cell
! Density ... 11.719 g/cm³
! Calculated total energy ... -26.67 eV per formula unit

=====

! NiHgMo2 | Alexandria | PBE | optimized geometry; values from VASP
&SYSTEM
  ibrav = 0, nat = 16, ntyp = 3
/
ATOMIC_SPECIES
Ni 58.69 Ni.upf
Hg 200.59 Hg.upf
Mo 95.94 Mo.upf
ATOMIC_POSITIONS crystal
Ni 0.000 0.000 0.000
Ni 0.000 0.500 0.500
Ni 0.500 0.000 0.500
Ni 0.500 0.500 0.000
Hg 0.250 0.250 0.250
Hg 0.250 0.750 0.750
Hg 0.750 0.250 0.750
Hg 0.750 0.750 0.250
Mo 0.000 0.000 0.500
Mo 0.000 0.500 0.000
Mo 0.250 0.250 0.750
Mo 0.250 0.750 0.250
Mo 0.500 0.000 0.000
Mo 0.500 0.500 0.500
Mo 0.750 0.250 0.250
Mo 0.750 0.750 0.750
CELL_PARAMETERS angstrom
6.350 0.000 0.000
0.000 6.350 0.000
0.000 0.000 6.350
! Magnetic moment ... 0.0 μB per cell
! Density ... 11.702 g/cm³
! Calculated total energy ... -25.56 eV per formula unit

=====

! Ni4HgMo | Alexandria | PBE | optimized geometry; values from VASP
&SYSTEM
  ibrav = 0, nat = 6, ntyp = 3
/
ATOMIC_SPECIES
Ni 58.69 Ni.upf
Hg 200.59 Hg.upf
Mo 95.94 Mo.upf
ATOMIC_POSITIONS crystal
Ni 0.376 0.376 0.376
Ni 0.376 0.376 0.873
Ni 0.376 0.873 0.376
Ni 0.873 0.376 0.376
Hg 0.000 0.000 0.000
Mo 0.750 0.750 0.750
CELL_PARAMETERS angstrom
0.000 3.393 3.393
3.393 0.000 3.393
3.393 3.393 0.000
! Magnetic moment ... 1.1 μB per cell
! Density ... 11.292 g/cm³
! Calculated total energy ... -33.22 eV per formula unit

=====

! NiHgMo2 | Alexandria | PBE | optimized geometry; values from VASP
&SYSTEM
  ibrav = 0, nat = 16, ntyp = 3
/
ATOMIC_SPECIES
Ni 58.69 Ni.upf
Hg 200.59 Hg.upf
Mo 95.94 Mo.upf
ATOMIC_POSITIONS crystal
Ni 0.000 0.000 0.000
Ni 0.000 0.500 0.250
Ni 0.500 0.000 0.750
Ni 0.500 0.500 0.500
Hg 0.000 0.000 0.500
Hg 0.000 0.500 0.750
Hg 0.500 0.000 0.250
Hg 0.500 0.500 0.000
Mo 0.240 0.250 0.125
Mo 0.250 0.740 0.375
Mo 0.250 0.760 0.875
Mo 0.260 0.250 0.625
Mo 0.740 0.750 0.625
Mo 0.750 0.240 0.875
Mo 0.750 0.260 0.375
Mo 0.760 0.750 0.125
CELL_PARAMETERS angstrom
3.681 0.000 0.000
0.000 3.681 0.000
0.000 0.000 19.880
! Magnetic moment ... 0.0 μB per cell
! Density ... 11.126 g/cm³
! Calculated total energy ... -24.88 eV per formula unit

=====

! NiHgMo2 | Alexandria | PBE | optimized geometry; values from VASP
&SYSTEM
  ibrav = 0, nat = 4, ntyp = 3
/
ATOMIC_SPECIES
Ni 58.69 Ni.upf
Hg 200.59 Hg.upf
Mo 95.94 Mo.upf
ATOMIC_POSITIONS crystal
Ni 0.000 0.000 0.000
Hg 0.500 0.500 0.000
Mo 0.000 0.500 0.500
Mo 0.500 0.000 0.500
CELL_PARAMETERS angstrom
3.765 0.000 0.000
0.000 3.765 0.000
0.000 0.000 4.398
! Magnetic moment ... 0.0 μB per cell
! Density ... 12.018 g/cm³
! Calculated total energy ... -26.32 eV per formula unit

=====

! NiHgMo2 | Alexandria | PBE | optimized geometry; values from VASP
&SYSTEM
  ibrav = 0, nat = 8, ntyp = 3
/
ATOMIC_SPECIES
Ni 58.69 Ni.upf
Hg 200.59 Hg.upf
Mo 95.94 Mo.upf
ATOMIC_POSITIONS crystal
Ni 0.000 0.000 0.000
Ni 0.500 0.500 0.500
Hg 0.000 0.000 0.500
Hg 0.500 0.500 0.000
Mo 0.000 0.500 0.250
Mo 0.000 0.500 0.750
Mo 0.500 0.000 0.250
Mo 0.500 0.000 0.750
CELL_PARAMETERS angstrom
3.762 0.000 0.000
0.000 3.762 0.000
0.000 0.000 8.827
! Magnetic moment ... 0.0 μB per cell
! Density ... 11.995 g/cm³
! Calculated total energy ... -26.30 eV per formula unit

=====

Among the records above, which one has the lowest calculated total energy?
Ni4HgMo

=====

Look up the density of the third one.
11.719 g/cm³